A relaxed KAl4Se7 crystal, computed with PBE-GGA.

Structure (CIF):
```
data_KAl4Se7
_cell_length_a 15.7836
_cell_length_b 6.6933
_cell_length_c 6.3244
_cell_angle_alpha 90.00
_cell_angle_beta 90.00
_cell_angle_gamma 90.00
_space_group_name_H-M_alt 'P m n 21'
_space_group_IT_number 31
_space_group_name_Hall 'P 2ac -2'
loop_
_atom_site_label
_atom_site_fract_x
_atom_site_fract_y
_atom_site_fract_z
K1 0.0000 0.1818 0.0000
Al1 0.1221 0.6679 0.6061
Al2 0.2485 0.1815 0.5859
Se1 0.0000 0.8465 0.4740
Se2 0.1172 0.6893 0.9843
Se3 0.1177 0.3298 0.4843
Se4 0.2478 0.1705 0.9772
```

Computed properties:
E ... -4.24 eV/atom
Raw formation energy ... -83.7 kJ per mole of atoms